Compound: Sr2NdCd2
Source: the Alexandria database
Functional: GGA-PBE
Structure: optimized geometry

ΔH_f (0 K), kJ/mol of atoms: -21.5
Symmetry: Cmmm, No. 65
Calculated volume, Å³ per cell: 180.4
Electronic total energy, eV/cell: -11.074

Unit cell a=3.907 b=4.000 c=11.714 alpha=80.17 beta=90.00 gamma=90.00
Each line ends with the local moment (μB).
Sites, in units of the cell vectors:
Cd 0.500 0.579 0.841  0.00
Cd 0.500 0.421 0.159  0.00
Sr 0.000 0.169 0.661  0.00
Sr 0.000 0.831 0.339  0.00
Nd 0.000 0.000 0.000  0.09